No. 1
# Ag2POs

A geometry-optimized Ag2POs structure (GGA-PBEsol, Alexandria via LeMat-Bulk).

```
4
Lattice="3.561 0.000 0.000 0.000 3.561 0.000 0.000 0.000 4.969" Properties=species:S:1:pos:R:3 pbc="T T T"
Ag 0.000 0.000 3.731
Ag 0.000 0.000 1.238
Os 1.781 1.781 0.000
P 1.781 1.781 2.485
```

Calculated values
SG = P4/mmm, No. 123
ΔH_f (0 K) = 75 kJ per mole of atoms
D(E_F) = 3.8 states/eV/cell

No. 2
# LiGaGe2Se6

A geometry-optimized LiGaGe2Se6 structure (GGA-PBEsol, Alexandria via LeMat-Bulk).

```
20
Lattice="7.070 0.000 -0.126 3.535 6.215 -0.063 3.238 0.000 11.747" Properties=species:S:1:pos:R:3 pbc="T T T"
Li 7.805 3.737 1.092
Li 5.889 2.478 7.029
Ga 7.659 1.610 11.621
Ga 9.575 4.605 5.684
Ge 9.847 6.140 2.407
Ge 9.585 3.201 9.052
Ge 7.932 0.075 8.344
Ge 4.431 3.014 3.241
Se 6.693 2.213 3.057
Se 3.066 0.928 8.748
Se 4.777 4.002 8.994
Se 4.982 5.287 2.812
Se 3.703 2.534 5.441
Se 7.324 0.415 6.102
Se 8.857 3.681 11.252
Se 9.240 5.800 0.165
Se 2.899 2.015 1.721
Se 6.280 1.041 9.713
Se 8.053 4.200 7.532
Se 8.196 5.174 3.777
```

Calculated values
SG = Cc, No. 9
Raw formation energy = -0.49 eV per atom